No. 1
Below is a geometry-optimized LiPm2Bi3 structure, with properties calculated at the PBE-GGA level.

a = 12.316 Å, b = 6.622 Å, c = 10.040 Å
α = 90.00°, β = 113.94°, γ = 90.00°
Space group C2/c (No. 15)
Asymmetric unit:
Li: 0.000 0.100 0.250 [4 per cell]
Pm: 0.182 0.491 0.091 [8 per cell]
Bi: 0.000 0.451 0.750 [4 per cell]
Bi: 0.141 0.008 0.571 [8 per cell]

Values from the calculation:
Total magnetic moment (μB/f.u.): 0.00
Formation enthalpy at 0 K (eV/atom): -0.581
Crystal system: monoclinic

---

No. 2
Below is a geometry-optimized LiPmBi2 structure, with properties calculated at the PBE-GGA level.

a = 4.092 Å, b = 4.092 Å, c = 6.840 Å
α = 90.00°, β = 90.00°, γ = 90.00°
Space group P4/mmm (No. 123)
Asymmetric unit:
Li: 0.000 0.000 0.000 [1 per cell]
Pm: 0.000 0.000 0.500 [1 per cell]
Bi: 0.500 0.500 0.243 [2 per cell]

Values from the calculation:
Total magnetic moment (μB/f.u.): 0.00
Formation enthalpy at 0 K (eV/atom): -0.517
Crystal system: tetragonal
Excess energy over the best structure of this formula in the dataset (meV/atom): 156

---

No. 3
Below is a geometry-optimized Li3PmBi2 structure, with properties calculated at the PBE-GGA level.

a = 17.874 Å, b = 4.480 Å, c = 11.008 Å
α = 90.00°, β = 100.69°, γ = 90.00°
Space group C2/m (No. 12)
Asymmetric unit:
Li: 0.000 0.000 0.000 [2 per cell]
Li: 0.049 0.500 0.840 [4 per cell]
Li: 0.119 0.000 0.727 [4 per cell]
Li: 0.181 0.000 0.487 [4 per cell]
Li: 0.208 0.500 0.904 [4 per cell]
Pm: 0.000 0.500 0.500 [2 per cell]
Pm: 0.171 0.500 0.221 [4 per cell]
Bi: 0.046 0.000 0.304 [4 per cell]
Bi: 0.144 0.000 0.993 [4 per cell]
Bi: 0.191 0.500 0.644 [4 per cell]

Values from the calculation:
Total magnetic moment (μB/f.u.): 0.00
Formation enthalpy at 0 K (eV/atom): -0.606
Crystal system: monoclinic

---

no.,E_tot (eV per atom)
1,-4.42
2,-4.12
3,-3.65